An optimized crystal structure of LaMgGe2Pt5. Source: Alexandria, functional PBE.

Values from the calculation:
**ΔE_f**: -0.659 eV per atom

Geometry as extended XYZ:
```
9
Lattice="-4.066 1.163 -0.661 0.512 -0.604 -4.207 -2.641 -8.710 0.928" Properties=species:S:1:pos:R:3 pbc="T T T"
La -1.321 -4.355 0.464
Mg 0.000 0.000 0.000
Ge -2.120 -0.850 -2.314
Ge -4.076 -7.301 -1.626
Pt -0.437 -2.586 -1.860
Pt -2.726 -1.703 -0.087
Pt -1.693 -6.727 -1.419
Pt -3.982 -5.844 0.354
Pt -3.098 -4.075 -1.970
```